## KAgPtAu2 (GGA-PBE)

Data for KAgPtAu2 after structural relaxation.

Computed properties:
- ΔE_f: 1.602 eV per atom
- Polymorph energy (0 for the lowest one): 1133.7 meV per atom

Cell lengths 5.248, 5.103, 5.248 Å; angles 90.00, 90.00, 90.00 degrees
Fractional positions:
1 K 0.000 0.000 0.000
2 Au 0.000 0.000 0.500
3 Au 0.500 0.000 0.000
4 Ag 0.000 0.500 0.000
5 Pt 0.500 0.500 0.500